# AlSi2Ag

AlSi2Ag at its PBEsol-relaxed geometry (SCAN, Alexandria via LeMat-Bulk).

The structure in extended XYZ format:
```
4
Lattice="2.691 0.000 0.019 0.000 4.691 0.000 -0.036 0.000 5.030" Properties=species:S:1:pos:R:3 pbc="T T T"
Al -0.018 2.345 2.515
Si 1.318 0.000 3.748
Si 1.337 0.000 1.300
Ag 1.345 2.345 0.009
```

Properties
The uncorrected formation energy is 362 meV per atom. The value obtained for the total magnetization is 0.00 μB per cell. The space group is Pmmm (47).

=====

# Al2SiAg

Al2SiAg at its PBEsol-relaxed geometry (SCAN, Alexandria via LeMat-Bulk).

The structure in extended XYZ format:
```
4
Lattice="-2.232 0.643 -1.516 -0.171 -2.067 1.912 -2.658 6.320 6.594" Properties=species:S:1:pos:R:3 pbc="T T T"
Al -1.794 1.935 0.926
Al -2.650 6.303 6.575
Si -1.327 3.155 3.291
Ag -3.105 5.051 4.177
```

Properties
The uncorrected formation energy is 230 meV per atom. The value obtained for the total magnetization is 0.02 μB per cell. The space group is Cmm2 (35).

=====

# AlSi2Ag

AlSi2Ag at its PBEsol-relaxed geometry (SCAN, Alexandria via LeMat-Bulk).

The structure in extended XYZ format:
```
4
Lattice="-1.911 0.814 1.985 -0.225 -2.719 0.900 5.520 1.146 4.844" Properties=species:S:1:pos:R:3 pbc="T T T"
Al 3.124 -0.082 5.120
Si 0.037 0.008 0.032
Si 0.224 -0.684 2.576
Ag 2.760 0.573 2.422
```

Properties
The uncorrected formation energy is 342 meV per atom. The value obtained for the total magnetization is 0.00 μB per cell. The space group is P4mm (99).

=====

# AlSi2Ag

AlSi2Ag at its PBEsol-relaxed geometry (SCAN, Alexandria via LeMat-Bulk).

The structure in extended XYZ format:
```
4
Lattice="4.077 0.000 0.000 0.000 4.077 0.000 -2.038 -2.038 3.812" Properties=species:S:1:pos:R:3 pbc="T T T"
Si 2.038 0.000 1.906
Si 0.000 2.038 1.906
Al 0.000 0.000 0.000
Ag 2.038 2.038 0.000
```

Properties
The uncorrected formation energy is 440 meV per atom. The value obtained for the total magnetization is 0.00 μB per cell. The space group is I4/mmm (139).

=====

# AlSiAg2

AlSiAg2 at its PBEsol-relaxed geometry (SCAN, Alexandria via LeMat-Bulk).

The structure in extended XYZ format:
```
4
Lattice="2.973 0.000 0.000 -1.487 4.379 0.020 0.000 -0.931 4.894" Properties=species:S:1:pos:R:3 pbc="T T T"
Ag 1.487 1.486 3.676
Ag 0.000 1.962 1.238
Si 1.487 0.000 0.000
Al 0.000 -0.465 2.447
```

Properties
The uncorrected formation energy is 131 meV per atom. The value obtained for the total magnetization is 0.00 μB per cell. The space group is C2/m (12).

=====

# AlSiAg2

AlSiAg2 at its PBEsol-relaxed geometry (SCAN, Alexandria via LeMat-Bulk).

The structure in extended XYZ format:
```
4
Lattice="3.478 0.000 0.000 0.000 3.478 0.000 0.000 0.000 5.314" Properties=species:S:1:pos:R:3 pbc="T T T"
Ag 0.000 0.000 5.251
Ag 1.739 1.739 1.379
Si 1.739 1.739 3.995
Al 0.000 0.000 2.661
```

Properties
The uncorrected formation energy is 147 meV per atom. The value obtained for the total magnetization is 0.00 μB per cell. The space group is P4mm (99).

=====

# ZrAlSiAg2

ZrAlSiAg2 at its PBEsol-relaxed geometry (SCAN, Alexandria via LeMat-Bulk).

The structure in extended XYZ format:
```
5
Lattice="-4.886 1.216 -0.048 -1.103 -4.510 -1.949 -0.531 -1.942 4.796" Properties=species:S:1:pos:R:3 pbc="T T T"
Zr 0.000 0.000 0.000
Al -0.265 -0.971 2.398
Si -3.260 -2.618 1.399
Ag -0.552 -2.255 -0.974
Ag -2.443 0.608 -0.024
```

Properties
The uncorrected formation energy is 1575 meV per atom. The value obtained for the total magnetization is 0.00 μB per cell. The space group is P4/mmm (123).

=====

# Al3AgSn

Al3AgSn at its PBEsol-relaxed geometry (SCAN, Alexandria via LeMat-Bulk).

The structure in extended XYZ format:
```
5
Lattice="4.839 0.000 0.000 0.000 4.839 0.000 0.000 0.000 4.839" Properties=species:S:1:pos:R:3 pbc="T T T"
Ag 0.000 0.000 0.000
Sn 2.419 2.419 2.419
Al 2.419 0.000 0.000
Al 0.000 2.419 0.000
Al 0.000 0.000 2.419
```

Properties
The value obtained for the total magnetization is 0.00 μB per cell. The space group is Pm-3m (221). As for the formation energy: 0.439 eV/atom.

=====

# Al2Ag2Sn

Al2Ag2Sn at its PBEsol-relaxed geometry (SCAN, Alexandria via LeMat-Bulk).

The structure in extended XYZ format:
```
5
Lattice="3.927 0.000 0.000 0.000 3.927 0.000 -1.963 -1.963 6.241" Properties=species:S:1:pos:R:3 pbc="T T T"
Al 0.000 0.000 4.953
Al 1.963 1.963 1.288
Sn 0.000 0.000 0.000
Ag 0.000 1.963 3.120
Ag 1.963 0.000 3.120
```

Properties
The value obtained for the total magnetization is 0.00 μB per cell. The space group is I4/mmm (139). As for the formation energy: 0.096 eV/atom.

=====

# Sr2Al5Ag5

Sr2Al5Ag5 at its PBEsol-relaxed geometry (SCAN, Alexandria via LeMat-Bulk).

The structure in extended XYZ format:
```
12
Lattice="-0.906 3.407 -2.654 -3.402 -3.198 -2.944 -7.428 2.552 5.810" Properties=species:S:1:pos:R:3 pbc="T T T"
Ag -6.190 2.127 4.842
Ag -4.082 -0.781 0.390
Ag -1.238 0.425 0.968
Ag -5.868 1.381 0.106
Ag -6.748 0.135 2.476
Al -8.555 1.206 0.798
Al -0.453 1.703 -1.327
Al -6.844 2.814 2.279
Al -4.891 -0.053 -2.067
Al -3.180 1.555 -0.587
Sr -3.714 1.276 2.905
Sr -1.701 -1.599 -1.472
```

Properties
The value obtained for the total magnetization is 0.00 μB per cell. The space group is Pmmm (47). As for the formation energy: -0.335 eV/atom.

=====

# SrAlAg

SrAlAg at its PBEsol-relaxed geometry (SCAN, Alexandria via LeMat-Bulk).

The structure in extended XYZ format:
```
3
Lattice="-3.802 0.276 1.616 -0.100 -4.587 0.549 1.632 2.696 3.380" Properties=species:S:1:pos:R:3 pbc="T T T"
Al 1.055 0.268 2.436
Sr -1.424 -2.022 2.300
Ag 0.000 0.000 0.000
```

Properties
The value obtained for the total magnetization is 0.00 μB per cell. The space group is P-6m2 (187). As for the formation energy: -0.272 eV/atom.

=====

# Sr2AlAg

Sr2AlAg at its PBEsol-relaxed geometry (SCAN, Alexandria via LeMat-Bulk).

The structure in extended XYZ format:
```
4
Lattice="3.862 0.000 0.000 0.000 3.862 0.000 0.000 0.000 7.733" Properties=species:S:1:pos:R:3 pbc="T T T"
Ag 1.931 1.931 0.000
Sr 0.000 0.000 5.823
Sr 0.000 0.000 1.910
Al 1.931 1.931 3.866
```

Properties
The value obtained for the total magnetization is 0.00 μB per cell. The space group is P4/mmm (123). As for the formation energy: -0.161 eV/atom.